Entry 1:
Below is a relaxed Pr2TiAs3Pt4 crystal, with properties calculated at the PBE level.

It has space group P-4m2 (No. 115), with a = 4.288 Å, b = 4.288 Å, c = 10.743 Å, α = 90.00°, β = 90.00° and γ = 90.00°. The distinct sites, in fractional coordinates, are Pr at (0.000, 0.500, 0.232), Ti at (0.000, 0.000, 0.500), As at (0.000, 0.500, 0.863), As at (0.500, 0.500, 0.500), Pt at (0.000, 0.000, 0.000), Pt at (0.000, 0.500, 0.632) and Pt at (0.500, 0.500, 0.000).

As for the total energy: -0.47513 Ry per atom.

Entry 2:
Below is a relaxed Li2MgGa2Ir2 crystal, with properties calculated at the PBE level.

It has space group C2/m (No. 12), with a = 7.543 Å, b = 4.326 Å, c = 7.486 Å, α = 90.00°, β = 109.08° and γ = 90.00°. The distinct sites, in fractional coordinates, are Li at (0.069, 0.000, 0.195), Mg at (0.000, 0.500, 0.500), Ga at (0.245, 0.500, 0.224) and Ir at (0.118, 0.500, 0.867).

As for the total energy: -0.33107 Ry per atom.

Entry 3:
Below is a relaxed Al2AuCl crystal, with properties calculated at the PBE level.

It has space group Pmmm (No. 47), with a = 2.972 Å, b = 4.431 Å, c = 6.184 Å, α = 90.00°, β = 90.00° and γ = 90.00°. The distinct sites, in fractional coordinates, are Al at (0.000, 0.000, 0.000), Al at (0.500, 0.000, 0.500), Au at (0.000, 0.500, 0.500) and Cl at (0.500, 0.500, 0.000).

The energy above the most stable polymorph in this dataset is 426 meV per atom. As for the total energy: -0.23706 Ry per atom. The calculation puts the uncorrected formation energy at -0.29 eV per formula unit.

Entry 4:
Below is a relaxed HoTm2Au crystal, with properties calculated at the PBE level.

It has space group Cmcm (No. 63), with a = 4.847 Å, b = 11.675 Å, c = 7.816 Å, α = 90.00°, β = 90.00° and γ = 90.00°. The distinct sites, in fractional coordinates, are Ho at (0.000, 0.044, 0.250), Tm at (0.000, 0.355, 0.038) and Au at (0.000, 0.207, 0.750).

The energy above the most stable polymorph in this dataset is 43 meV per atom. As for the total energy: -0.33954 Ry per atom.

Entry 5:
Below is a relaxed TcTe3 crystal, with properties calculated at the PBE level.

It has space group P4/mmm (No. 123), with a = 5.204 Å, b = 5.204 Å, c = 3.464 Å, α = 90.00°, β = 90.00° and γ = 90.00°. The distinct sites, in fractional coordinates, are Tc at (0.000, 0.000, 0.000), Te at (0.000, 0.500, 0.500) and Te at (0.500, 0.500, 0.000).

The energy above the most stable polymorph in this dataset is 710 meV per atom. As for the total energy: -0.30925 Ry per atom. The calculation puts the uncorrected formation energy at 2.96 eV per formula unit.

Entry 6:
Below is a relaxed ScPIO2 crystal, with properties calculated at the PBE level.

It has space group P4/mmm (No. 123), with a = 4.029 Å, b = 4.029 Å, c = 5.593 Å, α = 90.00°, β = 90.00° and γ = 90.00°. The distinct sites, in fractional coordinates, are Sc at (0.000, 0.000, 0.000), P at (0.500, 0.500, 0.000), I at (0.500, 0.500, 0.500) and O at (0.000, 0.500, 0.500).

The energy above the most stable polymorph in this dataset is 692 meV per atom. As for the total energy: -0.35812 Ry per atom. The calculation puts the uncorrected formation energy at -1.15 eV per formula unit.

Entry 7:
Below is a relaxed BF crystal, with properties calculated at the PBE level.

It has space group Imm2 (No. 44), with a = 2.507 Å, b = 10.917 Å, c = 5.281 Å, α = 90.00°, β = 90.00° and γ = 90.00°. The distinct sites, in fractional coordinates, are B at (0.000, 0.000, 0.000), B at (0.000, 0.412, 0.658), F at (0.000, 0.000, 0.738) and F at (0.000, 0.326, 0.835).

The energy above the most stable polymorph in this dataset is 89 meV per atom. As for the total energy: -0.40496 Ry per atom. The calculation puts the uncorrected formation energy at -2.47 eV per formula unit.

Entry 8:
Below is a relaxed SmHo4Mg crystal, with properties calculated at the PBE level.

It has space group P4/mmm (No. 123), with a = 3.565 Å, b = 3.565 Å, c = 14.275 Å, α = 90.00°, β = 90.00° and γ = 90.00°. The distinct sites, in fractional coordinates, are Sm at (0.000, 0.000, 0.000), Ho at (0.000, 0.000, 0.348), Ho at (0.500, 0.500, 0.177) and Mg at (0.500, 0.500, 0.500).

The energy above the most stable polymorph in this dataset is 0 meV per atom. As for the total energy: -0.30233 Ry per atom.